w:
{
  "formula": "AcIn2Ru",
  "functional": "GGA-PBE",
  "state": "relaxed",
  "lattice": [[16.3173, 0.0000, 0.0000], [0.0000, 8.2614, 0.0000], [0.0000, 0.0000, 5.9127]],
  "species": ["Ac", "Ac", "Ac", "Ac", "Ac", "Ac", "Ac", "Ac", "In", "In", "In", "In", "In", "In", "In", "In", "In", "In", "In", "In", "In", "In", "In", "In", "Ru", "Ru", "Ru", "Ru", "Ru", "Ru", "Ru", "Ru"],
  "frac_coords": [[0.0994, 0.2500, 0.2428], [0.1393, 0.7500, 0.0548], [0.3607, 0.2500, 0.5548], [0.4006, 0.7500, 0.7428], [0.5994, 0.2500, 0.2572], [0.6393, 0.7500, 0.4452], [0.8607, 0.2500, 0.9452], [0.9006, 0.7500, 0.7572], [0.0423, 0.0554, 0.7359], [0.0423, 0.4446, 0.7359], [0.2102, 0.5466, 0.5529], [0.2102, 0.9534, 0.5529], [0.2898, 0.0466, 0.0529], [0.2898, 0.4534, 0.0529], [0.4577, 0.5554, 0.2359], [0.4577, 0.9446, 0.2359], [0.5423, 0.0554, 0.7641], [0.5423, 0.4446, 0.7641], [0.7102, 0.5466, 0.9471], [0.7102, 0.9534, 0.9471], [0.7898, 0.0466, 0.4471], [0.7898, 0.4534, 0.4471], [0.9577, 0.5554, 0.2641], [0.9577, 0.9446, 0.2641], [0.0707, 0.7500, 0.5151], [0.1877, 0.2500, 0.7987], [0.3123, 0.7500, 0.2987], [0.4293, 0.2500, 0.0151], [0.5707, 0.7500, 0.9849], [0.6877, 0.2500, 0.7013], [0.8123, 0.7500, 0.2013], [0.9293, 0.2500, 0.4849]],
  "space_group": "No. 62",
  "total_magnetization_mub_per_fu": 0.000,
  "mass_density_g_cm3": 9.295
}

***

x:
{
  "formula": "AcIn2Ru",
  "functional": "GGA-PBE",
  "state": "relaxed",
  "lattice": [[4.6267, 0.0000, 0.0000], [-2.3134, 4.0069, 0.0000], [0.0000, 0.0000, 17.2720]],
  "species": ["Ac", "Ac", "Ac", "In", "In", "In", "In", "In", "In", "Ru", "Ru", "Ru"],
  "frac_coords": [[0.0000, 0.0000, 0.0000], [0.3333, 0.6667, 0.6667], [0.6667, 0.3333, 0.3333], [0.0000, 0.0000, 0.2109], [0.0000, 0.0000, 0.7891], [0.3333, 0.6667, 0.4558], [0.3333, 0.6667, 0.8776], [0.6667, 0.3333, 0.1224], [0.6667, 0.3333, 0.5442], [0.0000, 0.0000, 0.5000], [0.3333, 0.6667, 0.1667], [0.6667, 0.3333, 0.8333]],
  "space_group": "No. 166",
  "total_magnetization_mub_per_fu": 0.000,
  "mass_density_g_cm3": 8.677
}

***

y:
{
  "formula": "AcIn2Ru",
  "functional": "GGA-PBE",
  "state": "relaxed",
  "lattice": [[3.4656, 0.0000, 0.0000], [0.0000, 3.4656, 0.0000], [0.0000, 0.0000, 7.9991]],
  "species": ["Ac", "In", "In", "Ru"],
  "frac_coords": [[0.0000, 0.0000, 0.0000], [0.5000, 0.5000, 0.3143], [0.5000, 0.5000, 0.6857], [0.0000, 0.0000, 0.5000]],
  "space_group": "No. 123",
  "total_magnetization_mub_per_fu": 0.000,
  "mass_density_g_cm3": 9.639
}

***

Top of the stability list: w, leading by 0.175 eV/atom.

***

w:
{
  "formula": "Ac6InRu2",
  "functional": "GGA-PBE",
  "state": "relaxed",
  "lattice": [[-5.0741, 5.2654, 5.6813], [5.0741, -5.2654, 5.6813], [5.0741, 5.2654, -5.6813]],
  "species": ["Ac", "Ac", "Ac", "Ac", "Ac", "Ac", "Ac", "Ac", "Ac", "Ac", "Ac", "Ac", "In", "In", "Ru", "Ru", "Ru", "Ru"],
  "frac_coords": [[0.0302, 0.2319, 0.7983], [0.1771, 0.2953, 0.4724], [0.1771, 0.7047, 0.8818], [0.3335, 0.0186, 0.6851], [0.3335, 0.6484, 0.3149], [0.4337, 0.2319, 0.2017], [0.5663, 0.7681, 0.7983], [0.6665, 0.3516, 0.6851], [0.6665, 0.9814, 0.3149], [0.8229, 0.2953, 0.1182], [0.8229, 0.7047, 0.5276], [0.9698, 0.7681, 0.2017], [0.0000, 0.0000, 0.0000], [0.5000, 0.5000, 0.0000], [0.1338, 0.6338, 0.5000], [0.3163, 0.0000, 0.3163], [0.6837, 0.0000, 0.6837], [0.8662, 0.3662, 0.5000]],
  "space_group": "No. 71",
  "total_magnetization_mub_per_fu": 0.000,
  "mass_density_g_cm3": 9.184
}

***

x:
{
  "formula": "Ac6InRu2",
  "functional": "GGA-PBE",
  "state": "relaxed",
  "lattice": [[-5.2719, 7.2542, 4.5185], [5.2719, -7.2542, 4.5185], [5.2719, 7.2542, -4.5185]],
  "species": ["Ac", "Ac", "Ac", "Ac", "Ac", "Ac", "Ac", "Ac", "Ac", "Ac", "Ac", "Ac", "In", "In", "Ru", "Ru", "Ru", "Ru"],
  "frac_coords": [[0.0685, 0.2435, 0.4237], [0.0685, 0.6448, 0.8249], [0.2712, 0.1862, 0.0850], [0.3198, 0.2435, 0.6751], [0.3198, 0.6448, 0.0763], [0.3987, 0.8138, 0.5850], [0.6013, 0.1862, 0.4150], [0.6802, 0.3552, 0.9237], [0.6802, 0.7565, 0.3249], [0.7288, 0.8138, 0.9150], [0.9315, 0.3552, 0.1751], [0.9315, 0.7565, 0.5763], [0.1048, 0.8548, 0.2500], [0.8952, 0.1452, 0.7500], [0.2816, 0.0000, 0.7816], [0.2816, 0.5000, 0.2816], [0.7184, 0.0000, 0.2184], [0.7184, 0.5000, 0.7184]],
  "space_group": "No. 74",
  "total_magnetization_mub_per_fu": 0.000,
  "mass_density_g_cm3": 8.067
}

***

Top of the stability list: w, leading by 0.132 eV/atom.